{"formula": "Sr2HWCl", "functional": "PBE-GGA", "state": "optimized geometry", "lattice": [[5.0484, 0.0000, 0.0000], [0.0000, 5.2182, 0.0000], [0.0000, 0.0000, 5.0484]], "species": ["Sr", "Sr", "H", "W", "Cl"], "fractional_positions": [[0.0000, 0.0000, 0.5000], [0.5000, 0.0000, 0.0000], [0.0000, 0.0000, 0.0000], [0.5000, 0.5000, 0.5000], [0.0000, 0.5000, 0.0000]], "total_magnetization_mub_per_atom": 0.98, "dft_energy_ev_per_atom": -3.73}